1.
VASP calculation (PBE) on a relaxed structure of LiBe2Si.

```
LiBe2Si
1.0
3.559 0.000 0.000
0.000 3.559 0.000
0.000 0.000 3.426
Be Li Si
2 1 1
Direct
0.000 0.000 0.000
0.500 0.500 0.000
0.500 0.000 0.500
0.000 0.500 0.500
```

## Properties
For the total moment, the calculation gives 0.00 μB per formula unit. As for the space-group type: P4/mmm, No. 123. The density of states at the Fermi level is 0.96 states/eV per cell. Its formation energy from raw total energies is 0.128 eV/atom.

---

2.
VASP calculation (PBE) on a relaxed structure of LiBe2Si.

```
LiBe2Si
1.0
4.275 -0.003 0.001
1.382 4.046 -0.001
-2.830 -2.020 2.488
Be Li Si
2 1 1
Direct
0.000 0.000 0.000
0.250 0.750 0.500
0.500 0.500 0.000
0.750 0.250 0.500
```

## Properties
For the total moment, the calculation gives 0.00 μB per formula unit. As for the space-group type: I-4m2, No. 119. The density of states at the Fermi level is 0.95 states/eV per cell. Its formation energy from raw total energies is 0.146 eV/atom.

---

3.
VASP calculation (PBE) on a relaxed structure of Li2BeSi.

```
Li2BeSi
1.0
-0.549 3.295 1.833
1.937 0.011 4.522
6.149 3.439 -0.378
Li Be Si
4 2 2
Direct
0.190 0.253 0.368
0.818 0.838 0.525
0.448 0.424 0.681
0.817 0.343 0.023
0.070 0.762 0.099
0.564 0.920 0.953
0.115 0.002 0.769
0.521 0.676 0.282
```

## Properties
For the total moment, the calculation gives 0.00 μB per formula unit. As for the space-group type: Cm, No. 8. The offset from the most stable computed form is 0.015 eV per atom. The density of states at the Fermi level is 0.60 states/eV per cell. Its formation energy from raw total energies is -0.140 eV/atom.

---

4.
VASP calculation (PBE) on a relaxed structure of LiBe2Si.

```
LiBe2Si
1.0
3.930 0.000 0.000
1.965 3.404 0.000
1.965 1.135 3.209
Be Li Si
2 1 1
Direct
0.000 0.000 0.000
0.250 0.250 0.250
0.500 0.500 0.500
0.750 0.750 0.750
```

## Properties
For the total moment, the calculation gives 0.00 μB per formula unit. As for the space-group type: F-43m, No. 216. The density of states at the Fermi level is 1.22 states/eV per cell. Its formation energy from raw total energies is 0.215 eV/atom.

---

5.
VASP calculation (PBE) on a relaxed structure of Sr2LiBe3Si4.

```
Sr2LiBe3Si4
1.0
-3.915 1.195 0.372
-0.607 -2.883 2.866
2.668 6.523 7.126
Sr Li Be Si
2 1 3 4
Direct
0.500 0.000 0.251
0.000 0.500 0.749
0.500 0.500 0.500
0.000 0.000 0.500
0.500 0.000 0.869
0.000 0.500 0.131
0.500 0.500 0.000
0.000 0.000 0.000
0.500 0.000 0.634
0.000 0.500 0.366
```

## Properties
For the total moment, the calculation gives 0.00 μB per formula unit. As for the space-group type: P-4m2, No. 115. The density of states at the Fermi level is 2.62 states/eV per cell. Its formation energy from raw total energies is -0.175 eV/atom.

---

6.
VASP calculation (PBE) on a relaxed structure of LiTa2BeSi.

```
LiTa2BeSi
1.0
-2.819 3.261 -0.917
-2.499 -2.593 -1.542
-1.891 -0.525 3.946
Be Si Li Ta
1 1 1 2
Direct
0.000 0.000 0.000
0.500 0.500 0.500
0.000 0.500 0.000
0.000 0.000 0.500
0.500 0.000 0.000
```

## Properties
For the total moment, the calculation gives 0.00 μB per formula unit. As for the space-group type: P4/mmm, No. 123. The density of states at the Fermi level is 3.00 states/eV per cell. Its formation energy from raw total energies is 0.522 eV/atom.

---

Record-wise mass density values, in g/cm³: 2.0, 2.0, 1.5, 2.1, 3.2, 8.9
Record-wise final energy values, in eV per cell: -14.3, -14.2, -27.1, -13.9, -39.9, -32.2